No. 1
The following is a SCAN calculation of a PBEsol-optimized structure of FeBrF2, from the Alexandria database.

Structure (POSCAR):
```
FeBrF2
1.0
6.1134 0.0000 0.0000
0.0000 6.1134 0.0000
0.0000 0.0000 8.5668
Fe Br F
4 4 8
Direct
0.0000 0.2500 0.3750
0.0000 0.7500 0.6250
0.5000 0.2500 0.1250
0.5000 0.7500 0.8750
0.0000 0.2500 0.8750
0.0000 0.7500 0.1250
0.5000 0.2500 0.6250
0.5000 0.7500 0.3750
0.0000 0.0000 0.5000
0.0000 0.5000 0.5000
0.2500 0.2500 0.2500
0.2500 0.7500 0.7500
0.5000 0.0000 0.0000
0.5000 0.5000 0.0000
0.7500 0.2500 0.2500
0.7500 0.7500 0.7500
```

Output
calculated volume = 320.2 Å³ per cell
SG = I4_1/amd (141)
uncorrected formation energy = -1514 meV/atom
excess energy over the best structure of this formula in the dataset = 0.00 eV per formula unit
VASP energy = -0.932 Ry per atom

***

No. 2
The following is a SCAN calculation of a PBEsol-optimized structure of Na2Te2I, from the Alexandria database.

Structure (POSCAR):
```
Na2Te2I
1.0
8.4591 0.0000 0.0000
0.0000 8.4591 0.0000
0.0000 0.0000 4.4024
Na Te I
4 4 2
Direct
0.1364 0.3636 0.0000
0.3636 0.8636 0.0000
0.6364 0.1364 0.0000
0.8636 0.6364 0.0000
0.1764 0.6764 0.5000
0.3236 0.1764 0.5000
0.6764 0.8236 0.5000
0.8236 0.3236 0.5000
0.0000 0.0000 0.5000
0.5000 0.5000 0.5000
```

Output
calculated volume = 315.0 Å³ per cell
SG = P4/mbm (127)
uncorrected formation energy = -519 meV/atom
excess energy over the best structure of this formula in the dataset = 0.71 eV per formula unit
VASP energy = -1.797 Ry per atom

***

No. 3
The following is a SCAN calculation of a PBEsol-optimized structure of YHSeN2, from the Alexandria database.

Structure (POSCAR):
```
YHSeN2
1.0
4.0737 0.0000 0.0000
0.0000 4.0737 0.0000
0.0000 0.0000 3.3049
Y H Se N
1 1 1 2
Direct
0.0000 0.0000 0.0000
0.5000 0.5000 0.5000
0.5000 0.5000 0.0000
0.0000 0.5000 0.5000
0.5000 0.0000 0.5000
```

Output
calculated volume = 54.8 Å³ per cell
SG = P4/mmm (123)
VASP energy = -0.988 Ry per atom

***

No. 4
The following is a SCAN calculation of a PBEsol-optimized structure of BaLaTlSi2, from the Alexandria database.

Structure (POSCAR):
```
BaLaTlSi2
1.0
5.2681 0.0000 0.0000
0.0000 5.2681 0.0000
0.0000 0.0000 5.8168
Ba La Tl Si
1 1 1 2
Direct
0.0000 0.0000 0.0000
0.5000 0.5000 0.0000
0.0000 0.0000 0.5000
0.0000 0.5000 0.5000
0.5000 0.0000 0.5000
```

Output
calculated volume = 161.4 Å³ per cell
SG = P4/mmm (123)
uncorrected formation energy = 701 meV/atom
VASP energy = -2.522 Ry per atom

***

No. 5
The following is a SCAN calculation of a PBEsol-optimized structure of LuAgW2O8, from the Alexandria database.

Structure (POSCAR):
```
LuAgW2O8
1.0
4.8623 -5.2903 0.0000
4.8623 5.2903 0.0000
-4.2715 0.0000 5.6577
Lu Ag W O
2 2 4 16
Direct
0.1931 0.8069 0.0000
0.8069 0.1931 0.0000
0.1809 0.1809 0.5227
0.8191 0.8191 0.4773
0.2898 0.2898 0.0241
0.3337 0.6663 0.5000
0.6663 0.3337 0.5000
0.7102 0.7102 0.9759
0.0516 0.0516 0.8598
0.1444 0.3949 0.2404
0.1842 0.7199 0.6543
0.1984 0.4653 0.9096
0.2801 0.8158 0.3457
0.3949 0.1444 0.2404
0.4653 0.1984 0.9096
0.4757 0.4757 0.6610
0.5243 0.5243 0.3390
0.5347 0.8016 0.0904
0.6051 0.8556 0.7596
0.7199 0.1842 0.6543
0.8016 0.5347 0.0904
0.8158 0.2801 0.3457
0.8556 0.6051 0.7596
0.9484 0.9484 0.1402
```

Output
calculated volume = 291.1 Å³ per cell
SG = C2/m (12)
uncorrected formation energy = -2435 meV/atom
VASP energy = -1.869 Ry per atom

***

No. 6
The following is a SCAN calculation of a PBEsol-optimized structure of ZnCoTe2, from the Alexandria database.

Structure (POSCAR):
```
ZnCoTe2
1.0
3.3613 0.0000 0.0000
0.0000 3.3613 0.0000
0.0000 0.0000 7.1005
Zn Co Te
1 1 2
Direct
0.0000 0.0000 0.0000
0.5000 0.5000 0.1859
0.0000 0.0000 0.3620
0.5000 0.5000 0.8063
```

Output
calculated volume = 80.2 Å³ per cell
SG = P4mm (99)
uncorrected formation energy = 189 meV/atom
VASP energy = -1.921 Ry per atom

***

What is the calculated volume in the sixth record? 80.2 Å³ per cell